[1]
Zn6AsP2 after structural relaxation, computed with GGA-PBE.

Values from the calculation:
calculated formation energy: -0.03 eV per atom

Unit cell a=5.077 b=6.324 c=10.212 alpha=90.00 beta=90.00 gamma=90.00
Positions (direct):
Zn 0.198 0.223 0.139
Zn 0.198 0.223 0.861
Zn 0.222 0.636 0.000
Zn 0.278 0.136 0.500
Zn 0.302 0.723 0.361
Zn 0.302 0.723 0.639
Zn 0.698 0.277 0.361
Zn 0.698 0.277 0.639
Zn 0.722 0.864 0.500
Zn 0.778 0.364 0.000
Zn 0.802 0.777 0.139
Zn 0.802 0.777 0.861
As 0.000 0.500 0.500
As 0.500 0.000 0.000
P 0.000 0.000 0.298
P 0.000 0.000 0.702
P 0.500 0.500 0.202
P 0.500 0.500 0.798

[2]
Ir3PtRh3 after structural relaxation, computed with GGA-PBE.

Values from the calculation:
calculated formation energy: 0.00 eV per atom
polymorph energy (0 for the lowest one): 0 meV/atom

Unit cell a=6.125 b=6.125 c=6.125 alpha=72.51 beta=72.51 gamma=72.51
Positions (direct):
Ir 0.181 0.606 0.467
Ir 0.394 0.533 0.819
Ir 0.467 0.181 0.606
Ir 0.533 0.819 0.394
Ir 0.606 0.467 0.181
Ir 0.819 0.394 0.533
Pt 0.251 0.251 0.251
Pt 0.749 0.749 0.749
Rh 0.039 0.320 0.889
Rh 0.111 0.961 0.680
Rh 0.320 0.889 0.039
Rh 0.680 0.111 0.961
Rh 0.889 0.039 0.320
Rh 0.961 0.680 0.111

[3]
Ho3Mg2Tl3 after structural relaxation, computed with GGA-PBE.

Values from the calculation:
calculated formation energy: -0.20 eV per atom

Unit cell a=4.165 b=4.911 c=20.571 alpha=90.00 beta=90.00 gamma=90.00
Positions (direct):
Ho 0.000 0.000 0.000
Ho 0.000 0.500 0.124
Ho 0.000 0.500 0.876
Ho 0.500 0.000 0.376
Ho 0.500 0.000 0.624
Ho 0.500 0.500 0.500
Mg 0.000 0.000 0.249
Mg 0.000 0.000 0.751
Mg 0.500 0.500 0.251
Mg 0.500 0.500 0.749
Tl 0.000 0.000 0.500
Tl 0.000 0.500 0.361
Tl 0.000 0.500 0.639
Tl 0.500 0.000 0.139
Tl 0.500 0.000 0.861
Tl 0.500 0.500 0.000

Q: Which raw total energy values were calculated for the entries above? A: -46.71, -109.36, -51.19, in eV per cell.